(1)
Entry from the Alexandria database: Ca3U3AlP8 after structural relaxation (PBE-GGA).

```
Ca3U3AlP8
1.0
3.936 2.273 6.696
-3.936 2.273 6.696
0.000 -4.545 6.696
Ca U Al P
3 3 1 8
Direct
0.000 0.500 0.500
0.500 0.000 0.500
0.500 0.500 0.000
0.000 0.000 0.500
0.000 0.500 0.000
0.500 0.000 0.000
0.500 0.500 0.500
0.243 0.243 0.243
0.246 0.734 0.734
0.266 0.266 0.754
0.266 0.754 0.266
0.734 0.246 0.734
0.734 0.734 0.246
0.754 0.266 0.266
0.757 0.757 0.757
```

Values from the calculation:
* ΔE_f: -11.20 eV/f.u.
* calculated density: 5.1 g/cm³
* E: -6.5397 eV/atom
* space group: No. 166
* M_tot: 3.0 μB per formula unit

(2)
Entry from the Alexandria database: BaCaI after structural relaxation (PBE-GGA).

```
BaCaI
1.0
7.813 0.000 0.000
0.000 4.381 0.000
-1.272 0.000 8.150
Ba Ca I
2 2 2
Direct
0.201 0.000 0.227
0.799 0.000 0.773
0.300 0.500 0.825
0.700 0.500 0.175
0.000 0.500 0.500
0.500 0.500 0.500
```

Values from the calculation:
* uncorrected formation energy: -216 kJ/mol of formula units
* calculated density: 3.6 g/cm³
* E: -2.5706 eV/atom
* space group: No. 10
* excess energy over the best structure of this formula in the dataset: 0.086 eV/atom
* M_tot: 0.0 μB per formula unit

(3)
Entry from the Alexandria database: MgSc2TiC after structural relaxation (PBE-GGA).

```
MgSc2TiC
1.0
4.617 0.000 0.000
0.000 4.617 0.000
0.000 0.000 4.257
Mg Sc Ti C
1 2 1 1
Direct
0.000 0.000 0.000
0.000 0.500 0.500
0.500 0.000 0.500
0.500 0.500 0.000
0.500 0.500 0.500
```

Values from the calculation:
* ΔE_f: -1.49 eV/f.u.
* calculated density: 3.2 g/cm³
* E: -6.5731 eV/atom
* space group: No. 123
* excess energy over the best structure of this formula in the dataset: 0.000 eV/atom
* M_tot: 0.0 μB per formula unit

(4)
Entry from the Alexandria database: Ni2P after structural relaxation (PBE-GGA).

```
Ni2P
1.0
-1.474 1.644 3.450
1.474 -1.644 3.450
1.474 1.644 -3.450
Ni P
2 1
Direct
0.171 0.171 0.000
0.829 0.829 0.000
0.500 0.500 0.000
```

Values from the calculation:
* ΔE_f: -0.71 eV/f.u.
* calculated density: 7.4 g/cm³
* E: -5.8948 eV/atom
* space group: No. 71
* M_tot: 0.0 μB per formula unit

(5)
Entry from the Alexandria database: CuRu2W after structural relaxation (PBE-GGA).

```
CuRu2W
1.0
2.784 0.000 0.000
0.000 4.468 0.000
0.000 0.000 4.603
Cu Ru W
1 2 1
Direct
0.000 0.000 0.000
0.000 0.500 0.500
0.500 0.500 0.000
0.500 0.000 0.500
```

Values from the calculation:
* ΔE_f: 1.69 eV/f.u.
* calculated density: 13.0 g/cm³
* E: -8.4775 eV/atom
* space group: No. 47
* excess energy over the best structure of this formula in the dataset: 0.349 eV/atom
* M_tot: 0.0 μB per formula unit

(6)
Entry from the Alexandria database: AcMg2Ge4 after structural relaxation (PBE-GGA).

```
AcMg2Ge4
1.0
-2.032 2.131 9.310
2.032 -2.131 9.310
2.032 2.131 -9.310
Ac Mg Ge
1 2 4
Direct
0.000 0.000 0.000
0.184 0.684 0.500
0.816 0.316 0.500
0.331 0.831 0.500
0.418 0.418 0.000
0.582 0.582 0.000
0.669 0.169 0.500
```

Values from the calculation:
* ΔE_f: -2.33 eV/f.u.
* calculated density: 5.8 g/cm³
* E: -4.0135 eV/atom
* space group: No. 71
* M_tot: 0.0 μB per formula unit

(7)
Entry from the Alexandria database: ZnAuBr after structural relaxation (PBE-GGA).

```
ZnAuBr
1.0
5.712 0.000 0.000
0.000 10.499 0.000
0.000 0.000 5.141
Zn Au Br
4 4 4
Direct
0.113 0.204 0.000
0.387 0.204 0.500
0.613 0.796 0.000
0.887 0.796 0.500
0.109 0.014 0.673
0.391 0.014 0.173
0.609 0.986 0.673
0.891 0.986 0.173
0.015 0.342 0.361
0.485 0.342 0.861
0.515 0.658 0.361
0.985 0.658 0.861
```

Values from the calculation:
* uncorrected formation energy: -92 kJ/mol of formula units
* calculated density: 7.4 g/cm³
* E: -2.3926 eV/atom
* space group: No. 29
* excess energy over the best structure of this formula in the dataset: 0.000 eV/atom
* M_tot: 0.0 μB per formula unit

(8)
Entry from the Alexandria database: PtCS3 after structural relaxation (PBE-GGA).

```
PtCS3
1.0
4.076 0.000 0.000
0.000 4.076 0.000
0.000 0.000 4.076
Pt C S
1 1 3
Direct
0.000 0.000 0.000
0.500 0.500 0.500
0.000 0.500 0.500
0.500 0.000 0.500
0.500 0.500 0.000
```

Values from the calculation:
* uncorrected formation energy: 662 kJ/mol of formula units
* calculated density: 7.4 g/cm³
* E: -4.1574 eV/atom
* space group: No. 221
* excess energy over the best structure of this formula in the dataset: 0.000 eV/atom
* M_tot: 0.0 μB per formula unit

(9)
Entry from the Alexandria database: SrSbS2Cl after structural relaxation (PBE-GGA).

```
SrSbS2Cl
1.0
7.550 0.000 0.000
0.000 5.187 0.000
-3.699 0.000 8.417
Sr Sb S Cl
2 2 4 2
Direct
0.225 0.250 0.453
0.775 0.750 0.547
0.176 0.250 0.945
0.824 0.750 0.055
0.001 0.750 0.341
0.066 0.750 0.932
0.934 0.250 0.068
0.999 0.250 0.659
0.456 0.750 0.642
0.544 0.250 0.358
```

Values from the calculation:
* uncorrected formation energy: -602 kJ/mol of formula units
* calculated density: 3.1 g/cm³
* E: -4.4283 eV/atom
* space group: No. 11
* excess energy over the best structure of this formula in the dataset: 0.000 eV/atom
* M_tot: 0.0 μB per formula unit

(10)
Entry from the Alexandria database: YSc2Zn2 after structural relaxation (PBE-GGA).

```
YSc2Zn2
1.0
3.448 0.000 0.000
0.000 4.942 0.000
-1.725 0.000 12.658
Y Sc Zn
2 4 4
Direct
0.145 0.250 0.289
0.855 0.750 0.711
0.047 0.750 0.093
0.234 0.750 0.468
0.766 0.250 0.532
0.953 0.250 0.907
0.359 0.250 0.719
0.455 0.750 0.911
0.545 0.250 0.089
0.641 0.750 0.281
```

Values from the calculation:
* ΔE_f: -1.39 eV/f.u.
* calculated density: 4.8 g/cm³
* E: -4.6136 eV/atom
* space group: No. 11
* excess energy over the best structure of this formula in the dataset: 0.000 eV/atom
* M_tot: 0.0 μB per formula unit

(11)
Entry from the Alexandria database: NaHfPS2 after structural relaxation (PBE-GGA).

```
NaHfPS2
1.0
4.680 0.000 0.000
0.000 4.680 0.000
0.000 0.000 4.654
Na Hf P S
1 1 1 2
Direct
0.000 0.000 0.000
0.500 0.500 0.500
0.000 0.000 0.500
0.000 0.500 0.000
0.500 0.000 0.000
```

Values from the calculation:
* uncorrected formation energy: 367 kJ/mol of formula units
* calculated density: 4.8 g/cm³
* E: -4.2276 eV/atom
* space group: No. 123
* excess energy over the best structure of this formula in the dataset: 1.413 eV/atom
* M_tot: 0.0 μB per formula unit

(12)
Entry from the Alexandria database: CaTbLu2 after structural relaxation (PBE-GGA).

```
CaTbLu2
1.0
1.753 1.012 12.321
-1.753 1.012 12.321
0.000 -2.025 12.321
Ca Tb Lu
1 1 2
Direct
0.000 0.000 0.000
0.500 0.500 0.500
0.091 0.091 0.091
0.909 0.909 0.909
```

Values from the calculation:
* ΔE_f: 0.73 eV/f.u.
* calculated density: 6.9 g/cm³
* E: -3.7369 eV/atom
* space group: No. 166
* excess energy over the best structure of this formula in the dataset: 0.092 eV/atom
* M_tot: 0.0 μB per formula unit